Record 1
Below is crystalline HoGaO3 at its relaxed geometry, with properties calculated at the GGA-PBE level.

Cell: 5.594 7.612 5.284 Å, 90.00 90.00 90.00°
Fractional positions:
Ho (0.070, 0.250, 0.020)
Ho (0.430, 0.750, 0.520)
Ho (0.570, 0.250, 0.480)
Ho (0.930, 0.750, 0.980)
Ga (0.000, 0.000, 0.500)
Ga (0.000, 0.500, 0.500)
Ga (0.500, 0.000, 0.000)
Ga (0.500, 0.500, 0.000)
O (0.040, 0.750, 0.386)
O (0.195, 0.558, 0.807)
O (0.195, 0.942, 0.807)
O (0.305, 0.058, 0.307)
O (0.305, 0.442, 0.307)
O (0.460, 0.250, 0.886)
O (0.540, 0.750, 0.114)
O (0.695, 0.558, 0.693)
O (0.695, 0.942, 0.693)
O (0.805, 0.058, 0.193)
O (0.805, 0.442, 0.193)
O (0.960, 0.250, 0.614)

Properties
Space-group type   Pnma

***

Record 2
Below is crystalline HoGaO3 at its relaxed geometry, with properties calculated at the GGA-PBE level.

Cell: 6.990 6.990 5.683 Å, 98.14 98.14 86.29°
Fractional positions:
Ho (0.098, 0.902, 0.750)
Ho (0.302, 0.698, 0.250)
Ho (0.698, 0.302, 0.750)
Ho (0.902, 0.098, 0.250)
Ga (0.205, 0.390, 0.711)
Ga (0.390, 0.205, 0.211)
Ga (0.610, 0.795, 0.789)
Ga (0.795, 0.610, 0.289)
O (0.012, 0.211, 0.635)
O (0.142, 0.622, 0.882)
O (0.211, 0.012, 0.135)
O (0.293, 0.418, 0.415)
O (0.378, 0.858, 0.618)
O (0.418, 0.293, 0.915)
O (0.582, 0.707, 0.085)
O (0.622, 0.142, 0.382)
O (0.707, 0.582, 0.585)
O (0.789, 0.988, 0.865)
O (0.858, 0.378, 0.118)
O (0.988, 0.789, 0.365)

Properties
Space-group type   C2/c

***

Record 3
Below is crystalline Ho6Ga3O at its relaxed geometry, with properties calculated at the GGA-PBE level.

Cell: 8.898 8.898 6.226 Å, 90.00 90.00 100.08°
Fractional positions:
Ho (0.083, 0.917, 0.500)
Ho (0.129, 0.548, 0.275)
Ho (0.236, 0.314, 0.798)
Ho (0.307, 0.693, 0.767)
Ho (0.314, 0.236, 0.298)
Ho (0.452, 0.871, 0.275)
Ho (0.548, 0.129, 0.775)
Ho (0.686, 0.764, 0.798)
Ho (0.693, 0.307, 0.267)
Ho (0.764, 0.686, 0.298)
Ho (0.871, 0.452, 0.775)
Ho (0.917, 0.083, 0.000)
Ga (0.008, 0.763, 0.959)
Ga (0.237, 0.992, 0.959)
Ga (0.482, 0.518, 0.069)
Ga (0.518, 0.482, 0.569)
Ga (0.763, 0.008, 0.459)
Ga (0.992, 0.237, 0.459)
O (0.247, 0.753, 0.443)
O (0.753, 0.247, 0.943)

Properties
Space-group type   Cmc2_1

***

Record 4
Below is crystalline HoGaO3 at its relaxed geometry, with properties calculated at the GGA-PBE level.

Cell: 6.094 6.094 11.695 Å, 90.00 90.00 120.00°
Fractional positions:
Ho (0.000, 0.000, 0.000)
Ho (0.000, 0.000, 0.500)
Ho (0.333, 0.667, 0.459)
Ho (0.333, 0.667, 0.959)
Ho (0.667, 0.333, 0.459)
Ho (0.667, 0.333, 0.959)
Ga (0.000, 0.334, 0.226)
Ga (0.000, 0.666, 0.726)
Ga (0.334, 0.000, 0.226)
Ga (0.334, 0.334, 0.726)
Ga (0.666, 0.000, 0.726)
Ga (0.666, 0.666, 0.226)
O (0.000, 0.000, 0.202)
O (0.000, 0.000, 0.702)
O (0.000, 0.307, 0.389)
O (0.000, 0.360, 0.064)
O (0.000, 0.640, 0.564)
O (0.000, 0.693, 0.889)
O (0.307, 0.000, 0.389)
O (0.307, 0.307, 0.889)
O (0.333, 0.667, 0.245)
O (0.333, 0.667, 0.745)
O (0.360, 0.000, 0.064)
O (0.360, 0.360, 0.564)
O (0.640, 0.000, 0.564)
O (0.640, 0.640, 0.064)
O (0.667, 0.333, 0.245)
O (0.667, 0.333, 0.745)
O (0.693, 0.000, 0.889)
O (0.693, 0.693, 0.389)

Properties
Space-group type   P6_3cm

***

These records have DFT total energy values of -7.219 -7.234 -5.058 -7.249 eV per atom, in the order they appear.
These records have D(E_F) values of 0.00 0.00 8.70 0.00 states/eV/f.u., in the order they appear.
These records have size of the total moment values of 0.0 0.0 0.0 0.0 μB/f.u., in the order they appear.